1.
VASP calculation (PBE-GGA) on an optimized crystal structure of LaSc2Ti.

abc: 11.388 11.388 11.388
angles: 16.08 16.08 16.08
Fractional coordinates of all 4 atoms:
La  0.000  0.000  0.000
Sc  0.097  0.097  0.097
Sc  0.903  0.903  0.903
Ti  0.500  0.500  0.500

Results
The calculation puts the density at 4.7 g/cm³. The formation energy from the elements comes out at 0.196 eV/atom. The space group is R-3m. The density of states at the Fermi level comes out at 5.80 states/eV/f.u. The value obtained for the distance to the lowest polymorph of the same formula is 37 meV/atom.

---

2.
VASP calculation (PBE-GGA) on an optimized crystal structure of Pr2SmAu2.

abc: 8.432 8.432 3.957
angles: 90.00 90.00 90.00
Fractional coordinates of all 10 atoms:
Pr  0.166  0.334  0.000
Pr  0.334  0.834  0.000
Pr  0.666  0.166  0.000
Pr  0.834  0.666  0.000
Sm  0.000  0.000  0.500
Sm  0.500  0.500  0.500
Au  0.129  0.629  0.500
Au  0.371  0.129  0.500
Au  0.629  0.871  0.500
Au  0.871  0.371  0.500

Results
The calculation puts the density at 9.8 g/cm³. The formation energy from the elements comes out at -0.629 eV/atom. The space group is P4/mbm. The density of states at the Fermi level comes out at 5.29 states/eV/f.u. The value obtained for the distance to the lowest polymorph of the same formula is 0 meV/atom.

---

3.
VASP calculation (PBE-GGA) on an optimized crystal structure of Hf2BeInRh.

abc: 4.988 4.988 4.277
angles: 90.00 90.00 90.00
Fractional coordinates of all 5 atoms:
Hf  0.000  0.500  0.000
Hf  0.500  0.000  0.000
Be  0.000  0.000  0.500
In  0.500  0.500  0.500
Rh  0.000  0.000  0.000

Results
The calculation puts the density at 9.1 g/cm³. The formation energy from the elements comes out at 0.146 eV/atom. The space group is P4/mmm. The density of states at the Fermi level comes out at 3.94 states/eV/f.u.

---

4.
VASP calculation (PBE-GGA) on an optimized crystal structure of Ce2Ho3ScSe6.

abc: 9.130 9.130 8.220
angles: 103.46 103.46 25.67
Fractional coordinates of all 12 atoms:
Ce  0.167  0.167  0.335
Ce  0.833  0.833  0.665
Ho  0.169  0.169  0.834
Ho  0.500  0.500  0.500
Ho  0.831  0.831  0.166
Sc  0.500  0.500  0.000
Se  0.004  0.004  0.761
Se  0.337  0.337  0.409
Se  0.338  0.338  0.927
Se  0.662  0.662  0.073
Se  0.663  0.663  0.591
Se  0.996  0.996  0.239

Results
The calculation puts the uncorrected formation energy at -2001 kJ/mol of formula units. The calculation puts the density at 7.5 g/cm³. The space group is C2/m. The density of states at the Fermi level comes out at 14.81 states/eV/f.u.

---

5.
VASP calculation (PBE-GGA) on an optimized crystal structure of NbTe3Se.

abc: 5.355 5.355 5.355
angles: 90.00 90.00 90.00
Fractional coordinates of all 5 atoms:
Nb  0.000  0.000  0.000
Te  0.000  0.000  0.500
Te  0.000  0.500  0.000
Te  0.500  0.000  0.000
Se  0.500  0.500  0.500

Results
The calculation puts the uncorrected formation energy at 159 kJ/mol of formula units. The calculation puts the density at 6.0 g/cm³. The space group is Pm-3m. The density of states at the Fermi level comes out at 4.93 states/eV/f.u. The value obtained for the distance to the lowest polymorph of the same formula is 0 meV/atom.

---

6.
VASP calculation (PBE-GGA) on an optimized crystal structure of SrAgTe.

abc: 4.871 4.871 4.380
angles: 90.00 90.00 120.00
Fractional coordinates of all 3 atoms:
Sr  0.000  0.000  0.000
Ag  0.333  0.667  0.492
Te  0.667  0.333  0.503

Results
The calculation puts the uncorrected formation energy at -211 kJ/mol of formula units. The calculation puts the density at 6.0 g/cm³. The space group is P3m1. The density of states at the Fermi level comes out at 1.92 states/eV/f.u. The value obtained for the distance to the lowest polymorph of the same formula is 193 meV/atom.